# 1
# GGA-PBE Th4Bi5Ru2, optimized geometry
data_Th4Bi5Ru2
_cell_length_a 4.058
_cell_length_b 8.056
_cell_length_c 9.663
_cell_angle_alpha 95.07
_cell_angle_beta 90.00
_cell_angle_gamma 90.00
_space_group_name_H-M_alt 'P 1'
_space_group_IT_number 1
_space_group_name_Hall 'P 1'
loop_
_atom_site_label
_atom_site_type_symbol
_atom_site_fract_x
_atom_site_fract_y
_atom_site_fract_z
Bi1 Bi 0.000 0.869 0.855
Bi2 Bi 0.000 0.131 0.145
Bi3 Bi 0.000 0.463 0.663
Bi4 Bi 0.000 0.537 0.337
Bi5 Bi 0.000 0.500 0.000
Th1 Th 0.500 0.792 0.565
Th2 Th 0.500 0.792 0.157
Th3 Th 0.500 0.208 0.435
Th4 Th 0.500 0.208 0.843
Ru1 Ru 0.000 0.102 0.635
Ru2 Ru 0.000 0.898 0.365
# **Total magnetization**: 0.000 μB/atom
# **Total DFT energy (no corrections)**: -6.63 eV per atom
# **SG**: P2/m
# **Calculated volume**: 314.6 Å³/cell



# 2
# GGA-PBE Zn2CoCl, optimized geometry
data_Zn2CoCl
_cell_length_a 2.984
_cell_length_b 2.984
_cell_length_c 6.875
_cell_angle_alpha 90.00
_cell_angle_beta 90.00
_cell_angle_gamma 90.01
_space_group_name_H-M_alt 'P 1'
_space_group_IT_number 1
_space_group_name_Hall 'P 1'
loop_
_atom_site_label
_atom_site_type_symbol
_atom_site_fract_x
_atom_site_fract_y
_atom_site_fract_z
Zn1 Zn 0.000 0.000 0.545
Zn2 Zn 0.000 0.000 0.955
Cl1 Cl 0.500 0.500 0.250
Co1 Co 0.500 0.500 0.750
# **Distance to the lowest polymorph of the same formula**: 72 meV per atom
# **Formation energy without anion corrections**: 0.0109 eV per atom
# **Total magnetization**: 0.037 μB/atom
# **SG**: P4/mmm
# **Calculated volume**: 61.2 Å³/cell



# 3
# GGA-PBE Li2ReAu, optimized geometry
data_Li2ReAu
_cell_length_a 4.595
_cell_length_b 2.616
_cell_length_c 5.040
_cell_angle_alpha 87.99
_cell_angle_beta 90.00
_cell_angle_gamma 90.00
_space_group_name_H-M_alt 'P 1'
_space_group_IT_number 1
_space_group_name_Hall 'P 1'
loop_
_atom_site_label
_atom_site_type_symbol
_atom_site_fract_x
_atom_site_fract_y
_atom_site_fract_z
Li1 Li 0.000 0.904 0.018
Li2 Li 0.000 0.596 0.482
Re1 Re 0.500 0.250 0.250
Au1 Au 0.500 0.750 0.750
# **Distance to the lowest polymorph of the same formula**: 144 meV per atom
# **Total magnetization**: 0.168 μB/atom
# **SG**: P2/m
# **Calculated volume**: 60.5 Å³/cell



# 4
# GGA-PBE NaLaMg, optimized geometry
data_NaLaMg
_cell_length_a 3.390
_cell_length_b 5.640
_cell_length_c 5.640
_cell_angle_alpha 120.00
_cell_angle_beta 90.00
_cell_angle_gamma 90.00
_space_group_name_H-M_alt 'P 1'
_space_group_IT_number 1
_space_group_name_Hall 'P 1'
loop_
_atom_site_label
_atom_site_type_symbol
_atom_site_fract_x
_atom_site_fract_y
_atom_site_fract_z
La1 La 0.666 0.333 0.667
Na1 Na 0.169 0.667 0.333
Mg1 Mg 0.164 0.000 0.000
# **Distance to the lowest polymorph of the same formula**: 16 meV per atom
# **Total magnetization**: 0.002 μB/atom
# **SG**: P3m1
# **Calculated volume**: 93.4 Å³/cell